# Sc3MnAs

Crystalline Sc3MnAs at its relaxed geometry (PBE, the Alexandria database).

Cell: 4.963 4.963 4.963 Å, 90.00 90.00 90.00°
Fractional positions:
Sc 0.000 0.000 0.500
Sc 0.000 0.500 0.000
Sc 0.500 0.000 0.000
Mn 0.500 0.500 0.500
As 0.000 0.000 0.000

Results
ΔE to the lowest computed polymorph = 175 kJ/mol of formula units
E_form = 0.39 eV/atom
magnetization = 0.43 Bohr magnetons per cell
N(E_F) = 11.12 states/eV/f.u.
SG = No. 221